Density functional theory data (GGA-PBE) for an optimized crystal structure of Lu2BS.

Output
Volume (Å³/cell): 152
Electronic total energy (eV/f.u.): -24.00
Crystal system: hexagonal

abc: 3.6451 3.6451 13.1677
angles: 90.00 90.00 120.00
Space group P6_3/mmc (No. 194)
Symmetry-distinct sites (fractional):
1 Lu 0.3333 0.6667 0.1120 [4 per cell]
2 B 0.0000 0.0000 0.0000 [2 per cell]
3 S 0.3333 0.6667 0.7500 [2 per cell]